ErSc2In3 (GGA-PBE, optimized geometry); crystal system = orthorhombic; calculated total energy = -55.989 eV/cell; formation energy from the elements = -0.4256 eV/atom; size of the total moment = 2.14 μB per cell
1.0
4.6292 0.0000 0.0195
2.3146 6.9312 0.0098
-0.0395 0.0000 8.8188
Sc In Er
4 6 2
Direct
0.0000 0.0000 0.5000
0.3330 0.3341 0.5000
0.6670 0.6659 0.5000
0.0000 0.0000 0.0000
0.5006 0.0000 0.7429
0.1650 0.6695 0.2571
0.8350 0.3305 0.7429
0.8345 0.3305 0.2571
0.1655 0.6695 0.7429
0.4994 0.0000 0.2571
0.6637 0.6726 0.0000
0.3363 0.3274 0.0000